[1]
# SrCe3Co

SrCe3Co after structural relaxation (GGA-PBE, Alexandria via LeMat-Bulk).

The value obtained for the energy of formation from the pure elements is 0.1331 eV/atom. As for the crystal system: cubic. The calculation puts the volume at 159 Å³/cell.

The structure belongs to space group Pm-3m (No. 221); the cell edges are 5.4202, 5.4202 and 5.4202 Å and the angles 90.00°, 90.00° and 90.00°. The inequivalent atoms are Sr at (0.0000, 0.0000, 0.0000), Ce at (0.0000, 0.5000, 0.5000) and Co at (0.5000, 0.5000, 0.5000).

[2]
# CsF2

CsF2 after structural relaxation (GGA-PBE, Alexandria via LeMat-Bulk).

As for the crystal system: tetragonal. The formation energy without anion corrections is -1.89 eV/atom. The calculation puts the volume at 145 Å³/cell.

The structure belongs to space group I4/mmm (No. 139); the cell edges are 4.2521, 4.2521 and 8.0322 Å and the angles 90.00°, 90.00° and 90.00°. The inequivalent atoms are Cs at (0.0000, 0.0000, 0.0000) and F at (0.0000, 0.0000, 0.3757).

[3]
# LaRe2As

LaRe2As after structural relaxation (GGA-PBE, Alexandria via LeMat-Bulk).

The value obtained for the energy of formation from the pure elements is 0.6044 eV/atom. As for the crystal system: tetragonal. The calculation puts the volume at 160 Å³/cell.

The structure belongs to space group I4/mmm (No. 139); the cell edges are 3.9346, 3.9346 and 10.3466 Å and the angles 90.00°, 90.00° and 90.00°. The inequivalent atoms are La at (0.0000, 0.0000, 0.0000), Re at (0.0000, 0.5000, 0.2500) and As at (0.0000, 0.0000, 0.5000).